(1)
First-principles (PBE) data for an optimized crystal structure of NiPt8Au2, as listed in Alexandria.

Lattice parameters (Å, degrees): 7.4819 7.4819 6.3010 104.53 104.53 30.62
Last column: nearest neighbours and their distance in Å.
Fractional positions:
Ni 0.0000 0.0000 0.0000  12 Pt 2.71-2.80
Pt 0.0862 0.0862 0.4374  1 Ni 2.71, 8 Pt 2.75-2.94, 3 Au 2.87
Pt 0.1776 0.1776 0.9116  8 Pt 2.76-2.97, 1 Ni 2.76, 3 Au 2.82-2.83
Pt 0.3712 0.3712 0.8315  7 Pt 2.73-2.97, 2 Ni 2.73, 3 Au 2.91-2.92
Pt 0.4549 0.4549 0.2725  9 Pt 2.73-2.86, 2 Ni 2.80, 1 Au 2.81
Pt 0.5451 0.5451 0.7275  9 Pt 2.73-2.86, 2 Ni 2.80, 1 Au 2.81
Pt 0.6288 0.6288 0.1685  7 Pt 2.73-2.97, 2 Ni 2.73, 3 Au 2.91-2.92
Pt 0.8224 0.8224 0.0884  8 Pt 2.76-2.97, 1 Ni 2.76, 3 Au 2.82-2.83
Pt 0.9138 0.9138 0.5626  1 Ni 2.71, 8 Pt 2.75-2.94, 3 Au 2.87
Au 0.2740 0.2740 0.3634  10 Pt 2.81-2.92, 2 Au 2.82
Au 0.7260 0.7260 0.6366  10 Pt 2.81-2.92, 2 Au 2.82

Properties
Calculated density, g/cm³: 19.3
Final energy, eV/atom: -5.498
Space group: C2/m
Formation energy from the elements, eV/atom: 0.02
Crystal system: monoclinic



(2)
First-principles (PBE) data for an optimized crystal structure of CrInAs2, as listed in Alexandria.

Lattice parameters (Å, degrees): 4.8396 4.8396 4.8396 60.00 60.00 60.00
Last column: nearest neighbours and their distance in Å.
Fractional positions:
Cr 0.0000 0.0000 0.0000  4 In 2.96, 4 As 2.96
In 0.7500 0.7500 0.7500  4 Cr 2.96, 4 As 2.96
As 0.2500 0.2500 0.2500  4 Cr 2.96, 4 As 2.96
As 0.5000 0.5000 0.5000  4 As 2.96, 4 In 2.96

Properties
Calculated density, g/cm³: 6.6
Final energy, eV/atom: -4.972
Space group: F-43m
Formation energy from the elements, eV/atom: 0.44
Crystal system: cubic



(3)
First-principles (PBE) data for an optimized crystal structure of CeBeP2Os, as listed in Alexandria.

Lattice parameters (Å, degrees): 6.4403 6.4403 6.4403 146.88 146.88 47.55
Last column: nearest neighbours and their distance in Å.
Fractional positions:
Ce 0.0000 0.0000 0.0000  8 P 3.00
Be 0.2500 0.7500 0.5000  4 P 2.34, 4 Os 2.60
P 0.3725 0.3725 0.0000  2 Be 2.34, 2 Os 2.34
P 0.6275 0.6275 0.0000  2 Be 2.34, 2 Os 2.34
Os 0.7500 0.2500 0.5000  4 P 2.34, 4 Be 2.60

Properties
Calculated density, g/cm³: 8.4
Final energy, eV/atom: -7.021
Space group: I-4m2
Formation energy from the elements, eV/atom: -0.68
Crystal system: tetragonal



(4)
First-principles (PBE) data for an optimized crystal structure of KCeHo4S8, as listed in Alexandria.

Lattice parameters (Å, degrees): 8.3143 8.3143 8.3143 58.88 58.88 58.88
Last column: nearest neighbours and their distance in Å.
Fractional positions:
K 0.0000 0.0000 0.0000  4 S 2.86-2.87
Ce 0.6317 0.6317 0.6317  6 S 2.76-2.95
Ho 0.1151 0.6325 0.6325  6 S 2.65-2.89
Ho 0.2539 0.2539 0.2539  4 S 2.64-2.70
Ho 0.6325 0.1151 0.6325  6 S 2.65-2.89
Ho 0.6325 0.6325 0.1151  6 S 2.65-2.89
S 0.3797 0.3797 0.8593  3 Ho 2.64-2.87, 1 Ce 2.95
S 0.3797 0.8593 0.3797  3 Ho 2.64-2.87, 1 Ce 2.95
S 0.3852 0.3852 0.3852  4 Ho 2.70-2.89
S 0.4274 0.8665 0.8665  2 Ho 2.65, 1 Ce 2.76, 1 K 2.87
S 0.8593 0.3797 0.3797  3 Ho 2.64-2.87, 1 Ce 2.95
S 0.8607 0.8607 0.8607  3 Ho 2.66, 1 K 2.86
S 0.8665 0.4274 0.8665  2 Ho 2.65, 1 Ce 2.76, 1 K 2.87
S 0.8665 0.8665 0.4274  2 Ho 2.65, 1 Ce 2.76, 1 K 2.87

Properties
Calculated density, g/cm³: 4.6
Final energy, eV/atom: -6.075
Space group: R3m
Crystal system: trigonal
E_form (uncorrected), eV per formula unit: -26.68



(5)
First-principles (PBE) data for an optimized crystal structure of K2ScGe, as listed in Alexandria.

Lattice parameters (Å, degrees): 9.4183 9.4183 9.4183 94.40 94.40 147.85
Last column: nearest neighbours and their distance in Å.
Fractional positions:
K 0.3750 0.2050 0.3300  2 Ge 3.42
K 0.7950 0.1250 0.1700  2 Ge 3.42
K 0.8750 0.0450 0.6700  2 Ge 3.42
K 0.9550 0.6250 0.8300  2 Ge 3.42
Sc 0.2500 0.7500 0.5000  2 Ge 2.61
Sc 0.5000 0.5000 0.0000  2 Ge 2.61
Ge 0.0000 0.0000 0.0000  2 Sc 2.61
Ge 0.7500 0.2500 0.5000  2 Sc 2.61

Properties
Calculated density, g/cm³: 1.5
Final energy, eV/atom: -3.031
Space group: I-42d
Formation energy from the elements, eV/atom: 0.25
Crystal system: tetragonal



(6)
First-principles (PBE) data for an optimized crystal structure of PrGa3Pd, as listed in Alexandria.

Lattice parameters (Å, degrees): 6.2012 6.2012 6.2012 139.92 139.92 57.98
Last column: nearest neighbours and their distance in Å.
Fractional positions:
Pr 0.0000 0.0000 0.0000  12 Ga 3.26-3.45, 4 Pd 3.45
Ga 0.3845 0.3845 0.0000  3 Ga 2.51-2.58, 2 Pd 2.58
Ga 0.6155 0.6155 0.0000  3 Ga 2.51-2.58, 2 Pd 2.58
Ga 0.7500 0.2500 0.5000  4 Ga 2.58
Pd 0.2500 0.7500 0.5000  4 Ga 2.58

Properties
Calculated density, g/cm³: 7.7
Final energy, eV/atom: -4.500
Space group: I-4m2
Formation energy from the elements, eV/atom: -0.69
Crystal system: tetragonal
Excess energy over the best structure of this formula in the dataset, eV per atom: 0.0227



(7)
First-principles (PBE) data for an optimized crystal structure of UMnAs2, as listed in Alexandria.

Lattice parameters (Å, degrees): 6.1947 6.1947 6.1947 37.19 37.19 37.19
Last column: nearest neighbours and their distance in Å.
Fractional positions:
U 0.0000 0.0000 0.0000  6 As 2.82
Mn 0.5000 0.5000 0.5000  6 As 2.58
As 0.2369 0.2369 0.2369  3 Mn 2.58, 3 U 2.82
As 0.7631 0.7631 0.7631  3 Mn 2.58, 3 U 2.82

Properties
Calculated density, g/cm³: 9.4
Final energy, eV/atom: -7.829
Space group: R-3m
Formation energy from the elements, eV/atom: -0.39
Crystal system: trigonal
Excess energy over the best structure of this formula in the dataset, eV per atom: 0.1396



(8)
First-principles (PBE) data for an optimized crystal structure of NaFeSi, as listed in Alexandria.

Lattice parameters (Å, degrees): 3.7868 2.7244 10.5849 90.00 100.08 90.00
Last column: nearest neighbours and their distance in Å.
Fractional positions:
Na 0.0000 0.0000 0.0000  2 Na 2.72, 2 Si 3.03
Na 0.3552 0.5000 0.7044  2 Na 2.72, 2 Fe 3.02
Fe 0.2307 0.0000 0.4462  6 Si 2.33-2.38
Fe 0.6374 0.0000 0.2555  6 Si 2.33-2.49
Si 0.1393 0.5000 0.2593  6 Fe 2.33-2.38
Si 0.7349 0.5000 0.4549  6 Fe 2.33-2.49

Properties
Calculated density, g/cm³: 3.3
Final energy, eV/atom: -5.130
Space group: Pm
Crystal system: monoclinic
E_form (uncorrected), eV per formula unit: -0.19



(9)
First-principles (PBE) data for an optimized crystal structure of Sc3AlTc, as listed in Alexandria.

Lattice parameters (Å, degrees): 9.3788 9.3788 4.6540 90.00 90.00 151.35
Last column: nearest neighbours and their distance in Å.
Fractional positions:
Sc 0.0684 0.9316 0.7500  2 Tc 2.81, 2 Al 2.85
Sc 0.2500 0.7500 0.7500  4 Al 2.84-2.85, 4 Tc 2.89-2.90
Sc 0.4304 0.5696 0.7500  2 Tc 2.79, 2 Al 2.84
Sc 0.5696 0.4304 0.2500  2 Tc 2.79, 2 Al 2.84
Sc 0.7500 0.2500 0.2500  4 Al 2.84-2.85, 4 Tc 2.89-2.90
Sc 0.9316 0.0684 0.2500  2 Tc 2.81, 2 Al 2.85
Al 0.3406 0.6594 0.2500  8 Sc 2.84-2.85
Al 0.6594 0.3406 0.7500  8 Sc 2.84-2.85
Tc 0.1549 0.8451 0.2500  8 Sc 2.79-2.90
Tc 0.8451 0.1549 0.7500  8 Sc 2.79-2.90

Properties
Calculated density, g/cm³: 4.4
Final energy, eV/atom: -6.933
Space group: Cmcm
Formation energy from the elements, eV/atom: -0.31
Crystal system: orthorhombic
Excess energy over the best structure of this formula in the dataset, eV per atom: 0.0000



(10)
First-principles (PBE) data for an optimized crystal structure of TcAgHg2, as listed in Alexandria.

Lattice parameters (Å, degrees): 10.3262 10.3262 10.3262 156.72 156.72 33.15
Last column: nearest neighbours and their distance in Å.
Fractional positions:
Tc 0.0000 0.0000 0.0000  4 Hg 2.88, 4 Ag 2.95
Tc 0.7500 0.2500 0.5000  4 Hg 2.88, 4 Ag 2.95
Ag 0.2500 0.7500 0.5000  4 Hg 2.88, 4 Tc 2.95
Ag 0.5000 0.5000 0.0000  4 Hg 2.88, 4 Tc 2.95
Hg 0.1224 0.6250 0.9974  2 Tc 2.88, 2 Ag 2.88, 4 Hg 2.93-2.96
Hg 0.3750 0.3724 0.4974  2 Tc 2.88, 2 Ag 2.88, 4 Hg 2.93-2.96
Hg 0.6276 0.1250 0.0026  2 Tc 2.88, 2 Ag 2.88, 4 Hg 2.93-2.96
Hg 0.8750 0.8776 0.5026  2 Tc 2.88, 2 Ag 2.88, 4 Hg 2.93-2.96

Properties
Calculated density, g/cm³: 11.7
Final energy, eV/atom: -2.653
Space group: I-42d
Formation energy from the elements, eV/atom: 0.80
Crystal system: tetragonal
Excess energy over the best structure of this formula in the dataset, eV per atom: 0.3704